# GGA+U InFeBrO2, optimized geometry
data_InFeBrO2
_chemical_formula_sum 'In2 Fe2 Br2 O4'
_cell_length_a 4.233
_cell_length_b 6.538
_cell_length_c 7.285
_cell_angle_alpha 81.14
_cell_angle_beta 90.00
_cell_angle_gamma 90.00
_space_group_name_H-M_alt 'P 1'
_space_group_IT_number 1
loop_
_space_group_symop_operation_xyz
'x,y,z'
loop_
_atom_site_label
_atom_site_type_symbol
_atom_site_fract_x
_atom_site_fract_y
_atom_site_fract_z
_atom_site_occupancy
Fe1 Fe 0.250 0.944 0.870 1
Fe2 Fe 0.750 0.056 0.130 1
In1 In 0.250 0.834 0.421 1
O1 O 0.250 0.083 0.594 1
In2 In 0.750 0.166 0.579 1
O2 O 0.250 0.965 0.139 1
Br1 Br 0.250 0.565 0.731 1
O3 O 0.750 0.917 0.406 1
O4 O 0.750 0.035 0.861 1
Br2 Br 0.750 0.435 0.269 1
# Volume ... 19.92 Å³/atom
# Total DFT energy (no corrections) ... -5.177 eV/atom